Compound: VAgOF4
Source: the Alexandria database
Functional: GGA-PBEsol
Structure: relaxed

Values from the calculation:
**Calculated volume**: 382.5 Å³ per cell
**VASP energy**: -165.6 eV for the cell shown
**Symmetry**: P2_1/c, No. 14
**Formation energy without anion corrections**: -213.5 kJ/mol of atoms

a = 5.5664 Å, b = 5.0965 Å, c = 13.6750 Å
α = 90.00°, β = 99.58°, γ = 90.00°
With the nearest neighbours (Å) after each atom.
Sites, in units of the cell vectors:
V (0.1680, 0.1155, 0.3541)  1 O 1.60
V (0.1680, 0.3845, 0.8541)  1 O 1.60
V (0.8320, 0.6155, 0.1459)  1 O 1.60
V (0.8320, 0.8845, 0.6459)  1 O 1.60
Ag (0.3596, 0.1315, 0.1204)  1 O 2.22, 4 F 2.35-2.45
Ag (0.3596, 0.3685, 0.6204)  1 O 2.22, 4 F 2.35-2.45
Ag (0.6404, 0.6315, 0.3796)  1 O 2.22, 4 F 2.35-2.45
Ag (0.6404, 0.8685, 0.8796)  1 O 2.22, 4 F 2.35-2.45
O (0.3345, 0.6155, 0.9074)  1 V 1.60
O (0.3345, 0.8845, 0.4074)  1 V 1.60
O (0.6655, 0.1155, 0.5926)  1 V 1.60
O (0.6655, 0.3845, 0.0926)  1 V 1.60
F (0.0766, 0.5225, 0.7273)  1 V 1.86
F (0.0766, 0.9775, 0.2273)  1 V 1.86
F (0.1273, 0.5355, 0.1189)  1 V 1.79
F (0.1273, 0.9645, 0.6189)  1 V 1.79
F (0.2022, 0.1361, 0.9499)  1 V 1.81
F (0.2022, 0.3639, 0.4499)  1 V 1.81
F (0.3930, 0.2004, 0.7972)  1 V 1.84
F (0.3930, 0.2996, 0.2972)  1 V 1.84
F (0.6070, 0.7004, 0.7028)  1 V 1.84
F (0.6070, 0.7996, 0.2028)  1 V 1.84
F (0.7978, 0.6361, 0.5501)  1 V 1.81
F (0.7978, 0.8639, 0.0501)  1 V 1.81
F (0.8727, 0.0355, 0.3811)  1 V 1.79
F (0.8727, 0.4645, 0.8811)  1 V 1.79
F (0.9234, 0.0225, 0.7727)  1 V 1.86
F (0.9234, 0.4775, 0.2727)  1 V 1.86